Record 1
VASP calculation (PBEsol) on a relaxed structure of CaLaMnMoO6.

CIF file:
```
data_CaLaMnMoO6
_cell_length_a 5.471
_cell_length_b 5.636
_cell_length_c 9.452
_cell_angle_alpha 90.00
_cell_angle_beta 125.30
_cell_angle_gamma 90.00
_symmetry_space_group_name_H-M 'P 1 c 1'
_symmetry_Int_Tables_number 7
loop_
_symmetry_equiv_pos_as_xyz
'x,y,z'
'x,-y,z+1/2'
loop_
_atom_site_label
_atom_site_type_symbol
_atom_site_fract_x
_atom_site_fract_y
_atom_site_fract_z
Ca1 Ca 0.000 0.193 0.000
La1 La 0.475 0.297 0.498
Mn1 Mn 0.236 0.249 0.750
Mo1 Mo 0.734 0.250 0.247
O1 O 0.067 0.047 0.291
O2 O 0.396 0.447 0.204
O3 O 0.493 0.035 0.704
O4 O 0.579 0.271 0.001
O5 O 0.905 0.224 0.497
O6 O 0.976 0.461 0.797
```

Formation energy (no corrections): -2.511 eV per atom
M_tot: 6.9 μB per cell
Uncorrected energy: -8.5616 eV per atom
N(E_F): 9.5 states/eV/cell

Record 2
VASP calculation (PBEsol) on a relaxed structure of ScCoRu.

CIF file:
```
data_ScCoRu
_cell_length_a 2.753
_cell_length_b 2.753
_cell_length_c 11.213
_cell_angle_alpha 90.00
_cell_angle_beta 90.00
_cell_angle_gamma 90.00
_symmetry_space_group_name_H-M 'I 4 m m'
_symmetry_Int_Tables_number 107
_symmetry_space_group_name_Hall 'I 4 -2'
loop_
_atom_site_label
_atom_site_type_symbol
_atom_site_fract_x
_atom_site_fract_y
_atom_site_fract_z
Sc1 Sc 0.000 0.000 0.000
Co1 Co 0.000 0.000 0.323
Ru1 Ru 0.000 0.000 0.691
```

M_tot: 0.0 μB per cell
Uncorrected energy: -8.2103 eV per atom
Formation energy: -0.1 eV per formula unit
N(E_F): 4.2 states/eV/cell

Record 3
VASP calculation (PBEsol) on a relaxed structure of KBeIr4.

CIF file:
```
data_KBeIr4
_cell_length_a 7.363
_cell_length_b 7.363
_cell_length_c 7.363
_cell_angle_alpha 90.00
_cell_angle_beta 90.00
_cell_angle_gamma 90.00
_symmetry_space_group_name_H-M 'F -4 3 m'
_symmetry_Int_Tables_number 216
_symmetry_space_group_name_Hall 'F -4 2 3'
loop_
_atom_site_label
_atom_site_type_symbol
_atom_site_fract_x
_atom_site_fract_y
_atom_site_fract_z
K1 K 0.000 0.000 0.000
Be1 Be 0.250 0.250 0.250
Ir1 Ir 0.124 0.124 0.624
```

M_tot: 0.0 μB per cell
Uncorrected energy: -6.6337 eV per atom
Formation energy: 4.6 eV per formula unit
N(E_F): 32.5 states/eV/cell

Record 4
VASP calculation (PBEsol) on a relaxed structure of AlZnCu2.

CIF file:
```
data_AlZnCu2
_cell_length_a 3.085
_cell_length_b 3.085
_cell_length_c 5.363
_cell_angle_alpha 90.00
_cell_angle_beta 90.00
_cell_angle_gamma 90.00
_symmetry_space_group_name_H-M 'P 4 m m'
_symmetry_Int_Tables_number 99
loop_
_symmetry_equiv_pos_as_xyz
'x,y,z'
'-y,x,z'
'-x,-y,z'
'y,-x,z'
'-x,y,z'
'y,x,z'
'x,-y,z'
'-y,-x,z'
loop_
_atom_site_label
_atom_site_type_symbol
_atom_site_fract_x
_atom_site_fract_y
_atom_site_fract_z
Al1 Al 0.000 0.000 0.000
Zn1 Zn 0.500 0.500 0.712
Cu1 Cu 0.000 0.000 0.481
Cu2 Cu 0.500 0.500 0.234
```

M_tot: 0.0 μB per cell
Uncorrected energy: -3.6923 eV per atom
Formation energy: -0.4 eV per formula unit
N(E_F): 1.0 states/eV/cell

Record 5
VASP calculation (PBEsol) on a relaxed structure of CoIr2Pt.

CIF file:
```
data_CoIr2Pt
_cell_length_a 2.6902
_cell_length_b 2.6902
_cell_length_c 25.8860
_cell_angle_alpha 90.00
_cell_angle_beta 90.00
_cell_angle_gamma 120.00
_symmetry_space_group_name_H-M 'R 3 m'
_symmetry_Int_Tables_number 160
_symmetry_space_group_name_Hall 'R 3 -2"'
loop_
_atom_site_label
_atom_site_type_symbol
_atom_site_fract_x
_atom_site_fract_y
_atom_site_fract_z
Co1 Co 0.0000 0.0000 0.0000
Ir1 Ir 0.0000 0.0000 0.2551
Ir2 Ir 0.0000 0.0000 0.5034
Pt1 Pt 0.0000 0.0000 0.7474
```

M_tot: 5.0 μB per cell
Uncorrected energy: -8.5540 eV per atom
Formation energy: 0.1 eV per formula unit
Offset from the most stable computed form: 16 meV/atom
N(E_F): 13.2 states/eV/cell

Record 6
VASP calculation (PBEsol) on a relaxed structure of ZnPSeS2.

CIF file:
```
data_ZnPSeS2
_cell_length_a 4.661
_cell_length_b 4.661
_cell_length_c 4.783
_cell_angle_alpha 90.00
_cell_angle_beta 90.00
_cell_angle_gamma 90.00
_symmetry_space_group_name_H-M 'P 4/m m m'
_symmetry_Int_Tables_number 123
_symmetry_space_group_name_Hall '-P 4 2'
loop_
_atom_site_label
_atom_site_type_symbol
_atom_site_fract_x
_atom_site_fract_y
_atom_site_fract_z
Zn1 Zn 0.000 0.000 0.000
P1 P 0.500 0.500 0.000
Se1 Se 0.500 0.500 0.500
S1 S 0.000 0.500 0.500
```

Formation energy (no corrections): 0.840 eV per atom
M_tot: 0.0 μB per cell
Uncorrected energy: -3.1580 eV per atom
N(E_F): 4.3 states/eV/cell

Record 7
VASP calculation (PBEsol) on a relaxed structure of MnCd2TeO6.

CIF file:
```
data_MnCd2TeO6
_cell_length_a 6.255
_cell_length_b 6.452
_cell_length_c 6.493
_cell_angle_alpha 89.85
_cell_angle_beta 87.10
_cell_angle_gamma 87.53
_symmetry_space_group_name_H-M 'P 1'
_symmetry_Int_Tables_number 1
loop_
_symmetry_equiv_pos_as_xyz
'x,y,z'
loop_
_atom_site_label
_atom_site_type_symbol
_atom_site_fract_x
_atom_site_fract_y
_atom_site_fract_z
Mn1 Mn 0.000 0.000 0.000
Mn2 Mn 0.190 0.310 0.411
Cd1 Cd 0.393 0.696 0.719
Cd2 Cd 0.502 0.805 0.219
Cd3 Cd 0.693 0.195 0.528
Cd4 Cd 0.890 0.499 0.919
Te1 Te 0.434 0.248 0.972
Te2 Te 0.956 0.756 0.465
O1 O 0.023 0.777 0.757
O2 O 0.024 0.045 0.420
O3 O 0.134 0.303 0.069
O4 O 0.249 0.644 0.402
O5 O 0.346 0.961 0.953
O6 O 0.372 0.312 0.686
O7 O 0.472 0.194 0.266
O8 O 0.526 0.534 0.992
O9 O 0.654 0.838 0.530
O10 O 0.736 0.170 0.893
O11 O 0.880 0.755 0.173
O12 O 0.908 0.461 0.520
```

Formation energy (no corrections): -1.162 eV per atom
M_tot: 9.8 μB per cell
Uncorrected energy: -5.8801 eV per atom
N(E_F): 3.6 states/eV/cell

Record 8
VASP calculation (PBEsol) on a relaxed structure of MnHg2Se.

CIF file:
```
data_MnHg2Se
_cell_length_a 2.893
_cell_length_b 3.522
_cell_length_c 7.824
_cell_angle_alpha 90.00
_cell_angle_beta 90.00
_cell_angle_gamma 90.00
_symmetry_space_group_name_H-M 'P m m m'
_symmetry_Int_Tables_number 47
loop_
_symmetry_equiv_pos_as_xyz
'x,y,z'
'-x,-y,-z'
'-x,-y,z'
'x,y,-z'
'x,-y,-z'
'-x,y,z'
'-x,y,-z'
'x,-y,z'
loop_
_atom_site_label
_atom_site_type_symbol
_atom_site_fract_x
_atom_site_fract_y
_atom_site_fract_z
Mn1 Mn 0.000 0.000 0.000
Hg1 Hg 0.500 0.500 0.226
Se1 Se 0.000 0.000 0.500
```

Formation energy (no corrections): 0.331 eV per atom
M_tot: 4.1 μB per cell
Uncorrected energy: -3.3554 eV per atom
N(E_F): 2.5 states/eV/cell